# 1
The following is a DFT calculation (PBE) of Pr2ZnGa6Cu after structural relaxation.

For the total moment, the calculation gives 0.00 μB per cell. As for the formation energy: -0.3214 eV per atom.

The structure belongs to space group R-3m (No. 166, hexagonal axes); the cell edges are 6.3492, 6.3492 and 35.1688 Å and the angles 90.00°, 90.00° and 120.00°. The asymmetric unit holds Pr at (0.0000, 0.0000, 0.1070), Pr at (0.0000, 0.0000, 0.2838), Zn at (0.0000, 0.0000, 0.4277), Ga at (0.0467, 0.5233, 0.2984), Ga at (0.0659, 0.5330, 0.8646), Cu at (0.0000, 0.0000, 0.0000) and Cu at (0.0000, 0.0000, 0.5000).



# 2
The following is a DFT calculation (PBE) of PrZnGa4Cu2 after structural relaxation.

For the total moment, the calculation gives 0.00 μB per cell. As for the formation energy: -0.2204 eV per atom.

The structure belongs to space group R-3m (No. 166, hexagonal axes); the cell edges are 4.3106, 4.3106 and 26.5859 Å and the angles 90.00°, 90.00° and 120.00°. The asymmetric unit holds Pr at (0.0000, 0.0000, 0.0000), Zn at (0.0000, 0.0000, 0.5000), Ga at (0.0000, 0.0000, 0.1257), Ga at (0.0000, 0.0000, 0.4007) and Cu at (0.0000, 0.0000, 0.2375).



# 3
The following is a DFT calculation (PBE) of PrZnGaCu after structural relaxation.

For the total moment, the calculation gives 0.00 μB per cell. As for the formation energy: -0.2817 eV per atom.

The structure belongs to space group F-43m (No. 216); the cell edges are 6.748, 6.748 and 6.748 Å and the angles 90.00°, 90.00° and 90.00°. The asymmetric unit holds Pr at (0.000, 0.000, 0.000), Zn at (0.250, 0.250, 0.250), Ga at (0.000, 0.000, 0.500) and Cu at (0.250, 0.250, 0.750).



# 4
The following is a DFT calculation (PBE) of Pr3ZnGa2Cu6 after structural relaxation.

For the total moment, the calculation gives 0.00 μB per cell. As for the formation energy: -0.1215 eV per atom.

The structure belongs to space group P-3m1 (No. 164); the cell edges are 5.7035, 5.7035 and 8.3696 Å and the angles 90.00°, 90.00° and 120.00°. The asymmetric unit holds Pr at (0.0000, 0.0000, 0.0000), Pr at (0.3333, 0.6667, 0.6293), Zn at (0.0000, 0.0000, 0.5000), Ga at (0.3333, 0.6667, 0.0276) and Cu at (0.1838, 0.3676, 0.2824).



# 5
The following is a DFT calculation (PBE) of Pr2Zn4GaCu3 after structural relaxation.

For the total moment, the calculation gives 0.00 μB per cell. As for the formation energy: -0.2812 eV per atom.

The structure belongs to space group P-4m2 (No. 115); the cell edges are 4.133, 4.133 and 10.881 Å and the angles 90.00°, 90.00° and 90.00°. The asymmetric unit holds Pr at (0.000, 0.500, 0.249), Zn at (0.000, 0.000, 0.000), Zn at (0.000, 0.500, 0.636), Zn at (0.500, 0.500, 0.000), Ga at (0.000, 0.000, 0.500), Cu at (0.000, 0.500, 0.864) and Cu at (0.500, 0.500, 0.500).



# 6
The following is a DFT calculation (PBE) of Pr2Zn3Ga4Cu after structural relaxation.

For the total moment, the calculation gives 0.00 μB per cell. As for the formation energy: -0.4683 eV per atom.

The structure belongs to space group P-4m2 (No. 115); the cell edges are 4.282, 4.282 and 10.504 Å and the angles 90.00°, 90.00° and 90.00°. The asymmetric unit holds Pr at (0.000, 0.500, 0.246), Zn at (0.000, 0.000, 0.000), Zn at (0.000, 0.500, 0.639), Ga at (0.000, 0.000, 0.500), Ga at (0.000, 0.500, 0.875), Ga at (0.500, 0.500, 0.500) and Cu at (0.500, 0.500, 0.000).



# 7
The following is a DFT calculation (PBE) of Pr2ZnGa4Cu3 after structural relaxation.

For the total moment, the calculation gives 0.00 μB per cell. As for the formation energy: -0.4569 eV per atom.

The structure belongs to space group P-4m2 (No. 115); the cell edges are 4.272, 4.272 and 10.177 Å and the angles 90.00°, 90.00° and 90.00°. The asymmetric unit holds Pr at (0.000, 0.500, 0.249), Zn at (0.500, 0.500, 0.000), Ga at (0.000, 0.000, 0.500), Ga at (0.000, 0.500, 0.864), Ga at (0.500, 0.500, 0.500), Cu at (0.000, 0.000, 0.000) and Cu at (0.000, 0.500, 0.627).



# 8
The following is a DFT calculation (PBE) of PrZn2Ga4Cu after structural relaxation.

For the total moment, the calculation gives 0.00 μB per cell. As for the formation energy: -0.2205 eV per atom.

The structure belongs to space group R-3m (No. 166, hexagonal axes); the cell edges are 4.4321, 4.4321 and 26.1294 Å and the angles 90.00°, 90.00° and 120.00°. The asymmetric unit holds Pr at (0.0000, 0.0000, 0.0000), Zn at (0.0000, 0.0000, 0.2525), Ga at (0.0000, 0.0000, 0.1358), Ga at (0.0000, 0.0000, 0.4019) and Cu at (0.0000, 0.0000, 0.5000).